Material: CoMoF3
Method: DFT, PBE with a Hubbard U
State: relaxed

Geometry as POSCAR:
```
CoMoF3
1.0
-4.264 -0.150 0.548
0.478 -3.183 2.853
0.306 2.889 3.172
Mo Co F
1 1 3
direct
0.000 0.000 0.000
0.500 0.500 0.500
0.000 0.500 0.000
0.000 0.000 0.500
0.500 0.000 0.000
```

Values from the calculation:
E: -4.80 eV/atom
Calculated volume: 79.58 Å³/f.u.
Magnetization: 0.17 μB per atom